MnSnF3 | GGA+U | relaxed

final energy = -0.3657 Ry/atom
mass density = 3731 kg/m3

Geometry as CIF:
```
data_MnSnF3
_space_group_name_H-M_alt 'P m -3 m'
_space_group_IT_number 221
_space_group_name_Hall '-P 4 2 3'
_cell_length_a 4.6820
_cell_length_b 4.6820
_cell_length_c 4.6820
_cell_angle_alpha 90.00
_cell_angle_beta 90.00
_cell_angle_gamma 90.00
loop_
_atom_site_label
_atom_site_fract_x
_atom_site_fract_y
_atom_site_fract_z
Mn1 0.0000 0.0000 0.0000
Sn1 0.5000 0.5000 0.5000
F1 0.0000 0.5000 0.5000
```